! Na6Tl5Au, optimized geometry, DFT PBE; values from VASP
&SYSTEM
  ibrav = 0, nat = 12, ntyp = 3
/
ATOMIC_SPECIES
Na 22.99 Na.upf
Tl 204.38 Tl.upf
Au 196.97 Au.upf
CELL_PARAMETERS angstrom
4.596 0.000 0.000
0.000 9.651 0.000
-2.265 0.000 7.342
ATOMIC_POSITIONS crystal
Na 0.000 0.246 0.000
Na 0.000 0.754 0.000
Na 0.337 0.242 0.670
Na 0.337 0.758 0.670
Na 0.663 0.242 0.330
Na 0.663 0.758 0.330
Tl 0.145 0.000 0.300
Tl 0.166 0.500 0.333
Tl 0.500 0.500 0.000
Tl 0.834 0.500 0.667
Tl 0.855 0.000 0.700
Au 0.500 0.000 0.000
! - mass density (g cm⁻³) = 6.92
! - ΔE_f (kJ/mol of atoms) = -11.8

***

! Na2Tl2Au, optimized geometry, DFT PBE; values from VASP
&SYSTEM
  ibrav = 0, nat = 10, ntyp = 3
/
ATOMIC_SPECIES
Na 22.99 Na.upf
Tl 204.38 Tl.upf
Au 196.97 Au.upf
CELL_PARAMETERS angstrom
-2.425 2.425 12.041
2.425 -2.425 12.041
2.425 2.425 -12.041
ATOMIC_POSITIONS crystal
Na 0.055 0.305 0.750
Na 0.305 0.055 0.250
Na 0.695 0.945 0.750
Na 0.945 0.695 0.250
Tl 0.199 0.449 0.750
Tl 0.449 0.199 0.250
Tl 0.551 0.801 0.750
Tl 0.801 0.551 0.250
Au 0.375 0.625 0.750
Au 0.625 0.375 0.250
! - mass density (g cm⁻³) = 7.64
! - ΔE_f (kJ/mol of atoms) = -13.5